Entry 1:
Compound: Ta3TlGa
Source: Alexandria via LeMat-Bulk
Functional: PBE
Structure: relaxed

Unit cell a=4.763 b=4.763 c=4.763 alpha=90.00 beta=90.00 gamma=90.00
Sites, in units of the cell vectors:
Ta 0.000 0.000 0.500
Ta 0.000 0.500 0.000
Ta 0.500 0.000 0.000
Tl 0.500 0.500 0.500
Ga 0.000 0.000 0.000

Entry 2:
Compound: Ta2TlGa
Source: Alexandria via LeMat-Bulk
Functional: PBE
Structure: relaxed

Unit cell a=4.718 b=4.718 c=4.718 alpha=60.00 beta=60.00 gamma=60.00
Sites, in units of the cell vectors:
Ta 0.250 0.250 0.250
Ta 0.750 0.750 0.750
Tl 0.000 0.000 0.000
Ga 0.500 0.500 0.500

Entry 3:
Compound: TaTl2Ga
Source: Alexandria via LeMat-Bulk
Functional: PBE
Structure: relaxed

Unit cell a=5.069 b=5.069 c=5.069 alpha=60.00 beta=60.00 gamma=60.00
Sites, in units of the cell vectors:
Ta 0.000 0.000 0.000
Tl 0.250 0.250 0.250
Tl 0.750 0.750 0.750
Ga 0.500 0.500 0.500

Entry 4:
Compound: TaTl2Ga
Source: Alexandria via LeMat-Bulk
Functional: PBE
Structure: relaxed

Unit cell a=6.340 b=6.340 c=6.340 alpha=102.10 beta=102.10 gamma=125.51
Sites, in units of the cell vectors:
Ta 0.000 0.000 0.000
Ta 0.750 0.250 0.500
Tl 0.129 0.125 0.504
Tl 0.375 0.871 0.996
Tl 0.621 0.625 0.496
Tl 0.875 0.379 0.004
Ga 0.250 0.750 0.500
Ga 0.500 0.500 0.000

Number 1: calculated formation energy 114 kJ/mol of atoms, total moment 0.000 μB per formula unit, energy above the lowest structure with this stoichiometry 0.0 meV/atom. Number 2: calculated formation energy 53 kJ/mol of atoms, total moment 0.000 μB per formula unit, energy above the lowest structure with this stoichiometry 0.0 meV/atom. Number 3: calculated formation energy 82 kJ/mol of atoms, total moment 1.942 μB per formula unit, energy above the lowest structure with this stoichiometry 83.8 meV/atom. Number 4: calculated formation energy 74 kJ/mol of atoms, total moment 0.000 μB per formula unit, energy above the lowest structure with this stoichiometry 0.0 meV/atom.